The following is a DFT calculation (GGA+U) of AcFeO2 after structural relaxation.

The structure in POSCAR format:
```
AcFeO2
1.0
3.443 0.000 0.000
-1.721 2.981 0.000
0.000 0.000 17.293
Ac Fe O
3 3 6
direct
0.000 0.000 0.000
0.333 0.667 0.667
0.667 0.333 0.333
0.000 0.000 0.500
0.333 0.667 0.167
0.667 0.333 0.833
0.000 0.000 0.231
0.000 0.000 0.769
0.333 0.667 0.436
0.333 0.667 0.898
0.667 0.333 0.102
0.667 0.333 0.564
```

Properties
Mass density: 8.837 g/cm³
Uncorrected energy: -6.68 eV/atom
V: 14.79 Å³/atom
Total moment: 3.60 μB per formula unit